First-principles (PBE) data for a relaxed structure of LiMnPt2, as listed in Alexandria.

Energy relative to the elements ... -0.49 eV per atom

Unit cell a=5.740 b=6.843 c=2.872 alpha=90.00 beta=90.00 gamma=90.00
Sites, in units of the cell vectors:
Li1 0.000 0.000 0.000
Li2 0.500 0.500 0.000
Mn1 0.000 0.500 0.000
Mn2 0.500 0.000 0.000
Pt1 0.250 0.250 0.500
Pt2 0.250 0.750 0.500
Pt3 0.750 0.250 0.500
Pt4 0.750 0.750 0.500